Entry 1:
DFT (PBE-GGA) results for a relaxed structure of Li3YCd.

Results
Raw total energy, eV/atom: -2.4315
Space-group type: Pm-3m (221)
Energy above the lowest structure with this stoichiometry, eV/atom: 0.000
Calculated formation energy, meV/atom: 192.6
Total magnetic moment, Bohr magnetons per cell: 0.00

Lattice parameters (Å, degrees): 4.9214 4.9214 4.9214 90.00 90.00 90.00
Atoms (fractional coordinates):
Li 0.0000 0.0000 0.5000
Li 0.0000 0.5000 0.0000
Li 0.5000 0.0000 0.0000
Y 0.5000 0.5000 0.5000
Cd 0.0000 0.0000 0.0000

---

Entry 2:
DFT (PBE-GGA) results for a relaxed structure of AcTlSb2.

Results
Raw formation energy, eV/atom: -0.57
Raw total energy, eV/atom: -4.2451
Space-group type: P4/mmm (123)
Energy above the lowest structure with this stoichiometry, eV/atom: 0.004
Total magnetic moment, Bohr magnetons per cell: 0.00

Lattice parameters (Å, degrees): 5.1074 5.1074 4.7349 90.00 90.00 90.00
Atoms (fractional coordinates):
Ac 0.0000 0.0000 0.0000
Tl 0.5000 0.5000 0.0000
Sb 0.0000 0.5000 0.5000
Sb 0.5000 0.0000 0.5000

---

Entry 3:
DFT (PBE-GGA) results for a relaxed structure of Ho3AlPd.

Results
Raw total energy, eV/atom: -4.9553
Space-group type: P1 (1)
Calculated formation energy, meV/atom: -421.6
Total magnetic moment, Bohr magnetons per cell: 0.00

Lattice parameters (Å, degrees): 5.3745 6.6893 7.0182 91.84 96.23 96.17
Atoms (fractional coordinates):
Ho 0.0000 0.0000 0.0000
Ho 0.0131 0.5198 0.8328
Ho 0.4478 0.8464 0.6653
Ho 0.5493 0.2980 0.0235
Ho 0.8792 0.6560 0.3665
Ho 0.9469 0.1526 0.4943
Al 0.4529 0.7621 0.0958
Al 0.4804 0.3768 0.5840
Pd 0.2229 0.4337 0.2468
Pd 0.4265 0.0525 0.3316

---

Entry 4:
DFT (PBE-GGA) results for a relaxed structure of Li2MgGaF.

Results
Raw formation energy, eV/atom: -1.11
Raw total energy, eV/atom: -3.1744
Space-group type: P4/mmm (123)
Total magnetic moment, Bohr magnetons per cell: 0.00

Lattice parameters (Å, degrees): 4.0609 4.0609 4.5016 90.00 90.00 90.00
Atoms (fractional coordinates):
Li 0.0000 0.5000 0.0000
Li 0.5000 0.0000 0.0000
Mg 0.0000 0.0000 0.5000
Ga 0.5000 0.5000 0.5000
F 0.0000 0.0000 0.0000

---

Entry 5:
DFT (PBE-GGA) results for a relaxed structure of Ho2SnPb.

Results
Raw total energy, eV/atom: -4.7148
Space-group type: P4/mmm (123)
Energy above the lowest structure with this stoichiometry, eV/atom: 0.079
Calculated formation energy, meV/atom: -498.1
Total magnetic moment, Bohr magnetons per cell: 0.00

Lattice parameters (Å, degrees): 4.9881 4.9881 4.3701 90.00 90.00 90.00
Atoms (fractional coordinates):
Ho 0.0000 0.5000 0.0000
Ho 0.5000 0.0000 0.0000
Sn 0.0000 0.0000 0.5000
Pb 0.5000 0.5000 0.5000

---

Entry 6:
DFT (PBE-GGA) results for a relaxed structure of TbErPdAu.

Results
Raw total energy, eV/atom: -5.3284
Space-group type: Amm2 (38)
Energy above the lowest structure with this stoichiometry, eV/atom: 0.000
Calculated formation energy, meV/atom: -912.5
Total magnetic moment, Bohr magnetons per cell: 0.00

Lattice parameters (Å, degrees): 4.6646 3.7358 10.6195 90.00 90.00 90.00
Atoms (fractional coordinates):
Tb 0.0000 0.0000 0.0000
Tb 0.0000 0.5000 0.5000
Er 0.5000 0.0000 0.7235
Er 0.5000 0.5000 0.2235
Pd 0.0000 0.0000 0.2728
Pd 0.0000 0.5000 0.7728
Au 0.5000 0.0000 0.4456
Au 0.5000 0.5000 0.9456

---

Entry 7:
DFT (PBE-GGA) results for a relaxed structure of Tb8Y2Th.

Results
Raw total energy, eV/atom: -5.1912
Space-group type: C2/m (12)
Energy above the lowest structure with this stoichiometry, eV/atom: 0.000
Calculated formation energy, meV/atom: 26.1
Total magnetic moment, Bohr magnetons per cell: 0.00

Lattice parameters (Å, degrees): 9.4371 9.4371 7.9799 104.72 104.72 30.99
Atoms (fractional coordinates):
Tb 0.0445 0.0445 0.2323
Tb 0.1348 0.1348 0.6785
Tb 0.3201 0.3201 0.5922
Tb 0.4100 0.4100 0.0480
Tb 0.5900 0.5900 0.9520
Tb 0.6799 0.6799 0.4078
Tb 0.8652 0.8652 0.3215
Tb 0.9555 0.9555 0.7677
Y 0.2280 0.2280 0.1367
Y 0.7720 0.7720 0.8633
Th 0.5000 0.5000 0.5000

---

Entry 8:
DFT (PBE-GGA) results for a relaxed structure of ScCoTeN2.

Results
Raw formation energy, eV/atom: 0.63
Raw total energy, eV/atom: -6.0133
Space-group type: P4/mmm (123)
Energy above the lowest structure with this stoichiometry, eV/atom: 0.000
Total magnetic moment, Bohr magnetons per cell: 0.00

Lattice parameters (Å, degrees): 3.8624 3.8624 5.0413 90.00 90.00 90.00
Atoms (fractional coordinates):
Sc 0.0000 0.0000 0.0000
Co 0.5000 0.5000 0.5000
Te 0.5000 0.5000 0.0000
N 0.0000 0.5000 0.5000
N 0.5000 0.0000 0.5000

---

Entry 9:
DFT (PBE-GGA) results for a relaxed structure of Re2NiW.

Results
Raw total energy, eV/atom: -10.7749
Space-group type: P4mm (99)
Energy above the lowest structure with this stoichiometry, eV/atom: 0.121
Calculated formation energy, meV/atom: 132.8
Total magnetic moment, Bohr magnetons per cell: 0.00

Lattice parameters (Å, degrees): 3.1957 3.1957 5.6311 90.00 90.00 90.00
Atoms (fractional coordinates):
Re 0.0000 0.0000 0.0000
Re 0.5000 0.5000 0.2681
Ni 0.5000 0.5000 0.7687
W 0.0000 0.0000 0.5459

---

Entry 10:
DFT (PBE-GGA) results for a relaxed structure of PaGePdRu.

Results
Raw total energy, eV/atom: -7.4847
Space-group type: F-43m (216)
Calculated formation energy, meV/atom: -339.2
Total magnetic moment, Bohr magnetons per cell: 0.00

Lattice parameters (Å, degrees): 6.6446 6.6446 6.6446 90.00 90.00 90.00
Atoms (fractional coordinates):
Pa 0.0000 0.0000 0.0000
Pa 0.0000 0.5000 0.5000
Pa 0.5000 0.0000 0.5000
Pa 0.5000 0.5000 0.0000
Ge 0.0000 0.0000 0.5000
Ge 0.0000 0.5000 0.0000
Ge 0.5000 0.0000 0.0000
Ge 0.5000 0.5000 0.5000
Pd 0.2500 0.2500 0.2500
Pd 0.2500 0.7500 0.7500
Pd 0.7500 0.2500 0.7500
Pd 0.7500 0.7500 0.2500
Ru 0.2500 0.2500 0.7500
Ru 0.2500 0.7500 0.2500
Ru 0.7500 0.2500 0.2500
Ru 0.7500 0.7500 0.7500

---

Entry 11:
DFT (PBE-GGA) results for a relaxed structure of La2Mg3Cu2.

Results
Raw total energy, eV/atom: -3.4153
Space-group type: C2/m (12)
Calculated formation energy, meV/atom: -153.8
Total magnetic moment, Bohr magnetons per cell: 0.00

Lattice parameters (Å, degrees): 10.0364 4.5292 7.4113 90.00 93.77 90.00
Atoms (fractional coordinates):
La 0.1343 0.0000 0.3486
La 0.3657 0.5000 0.6514
La 0.6343 0.5000 0.3486
La 0.8657 0.0000 0.6514
Mg 0.0000 0.5000 0.0000
Mg 0.1733 0.0000 0.8624
Mg 0.3267 0.5000 0.1376
Mg 0.5000 0.0000 0.0000
Mg 0.6733 0.5000 0.8624
Mg 0.8267 0.0000 0.1376
Cu 0.0706 0.5000 0.6481
Cu 0.4294 0.0000 0.3519
Cu 0.5706 0.0000 0.6481
Cu 0.9294 0.5000 0.3519

---

Entry 12:
DFT (PBE-GGA) results for a relaxed structure of Ge2RhF.

Results
Raw formation energy, eV/atom: -0.51
Raw total energy, eV/atom: -5.1237
Space-group type: Fm-3m (225)
Energy above the lowest structure with this stoichiometry, eV/atom: 0.000
Total magnetic moment, Bohr magnetons per cell: 0.00

Lattice parameters (Å, degrees): 6.1579 6.1579 6.1579 90.00 90.00 90.00
Atoms (fractional coordinates):
Ge 0.2500 0.2500 0.2500
Ge 0.2500 0.2500 0.7500
Ge 0.2500 0.7500 0.2500
Ge 0.2500 0.7500 0.7500
Ge 0.7500 0.2500 0.2500
Ge 0.7500 0.2500 0.7500
Ge 0.7500 0.7500 0.2500
Ge 0.7500 0.7500 0.7500
Rh 0.0000 0.0000 0.0000
Rh 0.0000 0.5000 0.5000
Rh 0.5000 0.0000 0.5000
Rh 0.5000 0.5000 0.0000
F 0.0000 0.0000 0.5000
F 0.0000 0.5000 0.0000
F 0.5000 0.0000 0.0000
F 0.5000 0.5000 0.5000

---

Entry 13:
DFT (PBE-GGA) results for a relaxed structure of Pr6Te5N.

Results
Raw formation energy, eV/atom: -1.37
Raw total energy, eV/atom: -5.7633
Space-group type: C2/m (12)
Total magnetic moment, Bohr magnetons per cell: 0.00

Lattice parameters (Å, degrees): 7.6678 7.6678 7.5400 99.53 99.53 119.51
Atoms (fractional coordinates):
Pr 0.0684 0.3482 0.7104
Pr 0.2065 0.2065 0.2683
Pr 0.3482 0.0684 0.7104
Pr 0.6518 0.9316 0.2896
Pr 0.7935 0.7935 0.7317
Pr 0.9316 0.6518 0.2896
Te 0.1822 0.8178 0.0000
Te 0.3363 0.6637 0.5000
Te 0.5000 0.5000 0.0000
Te 0.6637 0.3363 0.5000
Te 0.8178 0.1822 0.0000
N 0.0000 0.0000 0.5000